(1)
First-principles (PBE-GGA) data for crystalline Tm3ReC3 at its relaxed geometry, as listed in Alexandria via LeMat-Bulk.

Summary:
Formation enthalpy at 0 K ... -432 meV/atom
E_tot ... -8.080 eV per atom

a b c (Å): 6.715 6.715 5.051
angles (deg): 90.00 90.00 100.10
Atoms (fractional coordinates):
Tm (0.109, 0.891, 0.750)
Tm (0.168, 0.404, 0.750)
Tm (0.404, 0.168, 0.250)
Tm (0.596, 0.832, 0.750)
Tm (0.832, 0.596, 0.250)
Tm (0.891, 0.109, 0.250)
Re (0.310, 0.690, 0.250)
Re (0.690, 0.310, 0.750)
C (0.123, 0.877, 0.250)
C (0.168, 0.411, 0.250)
C (0.411, 0.168, 0.750)
C (0.589, 0.832, 0.250)
C (0.832, 0.589, 0.750)
C (0.877, 0.123, 0.750)


(2)
First-principles (PBE-GGA) data for crystalline Tm3Re2C4 at its relaxed geometry, as listed in Alexandria via LeMat-Bulk.

Summary:
Formation enthalpy at 0 K ... -102 meV/atom
E_tot ... -8.458 eV per atom

a b c (Å): 5.526 5.526 7.422
angles (deg): 98.55 98.55 33.55
Atoms (fractional coordinates):
Tm (0.000, 0.000, 0.000)
Tm (0.385, 0.385, 0.602)
Tm (0.615, 0.615, 0.398)
Re (0.298, 0.298, 0.174)
Re (0.702, 0.702, 0.826)
C (0.132, 0.132, 0.647)
C (0.341, 0.341, 0.908)
C (0.659, 0.659, 0.092)
C (0.868, 0.868, 0.353)


(3)
First-principles (PBE-GGA) data for crystalline TmReC at its relaxed geometry, as listed in Alexandria via LeMat-Bulk.

Summary:
Energy relative to the lowest polymorph listed for this composition ... 0 meV/atom
Formation enthalpy at 0 K ... -71 meV/atom
E_tot ... -8.785 eV per atom

a b c (Å): 3.220 3.220 10.110
angles (deg): 90.00 90.00 120.00
Atoms (fractional coordinates):
Tm (0.333, 0.667, 0.000)
Tm (0.667, 0.333, 0.500)
Re (0.000, 0.000, 0.251)
Re (0.000, 0.000, 0.751)
C (0.333, 0.667, 0.345)
C (0.667, 0.333, 0.845)


(4)
First-principles (PBE-GGA) data for crystalline Tm5Re2C7 at its relaxed geometry, as listed in Alexandria via LeMat-Bulk.

Summary:
Formation enthalpy at 0 K ... -420 meV/atom
E_tot ... -8.407 eV per atom

a b c (Å): 8.220 8.220 3.370
angles (deg): 90.00 90.00 122.07
Atoms (fractional coordinates):
Tm (0.000, 0.000, 0.000)
Tm (0.164, 0.423, 0.500)
Tm (0.423, 0.164, 0.500)
Tm (0.577, 0.836, 0.500)
Tm (0.836, 0.577, 0.500)
Re (0.215, 0.785, 0.000)
Re (0.785, 0.215, 0.000)
C (0.000, 0.500, 0.000)
C (0.124, 0.876, 0.500)
C (0.329, 0.329, 0.000)
C (0.500, 0.000, 0.000)
C (0.500, 0.500, 0.000)
C (0.671, 0.671, 0.000)
C (0.876, 0.124, 0.500)


(5)
First-principles (PBE-GGA) data for crystalline TmU2ReC4 at its relaxed geometry, as listed in Alexandria via LeMat-Bulk.

Summary:
Formation enthalpy at 0 K ... -27 meV/atom
E_tot ... -9.576 eV per atom

a b c (Å): 6.040 6.040 11.570
angles (deg): 90.00 90.00 146.22
Atoms (fractional coordinates):
Tm (0.123, 0.877, 0.750)
Tm (0.877, 0.123, 0.250)
U (0.370, 0.630, 0.544)
U (0.370, 0.630, 0.956)
U (0.630, 0.370, 0.044)
U (0.630, 0.370, 0.456)
Re (0.140, 0.860, 0.250)
Re (0.860, 0.140, 0.750)
C (0.000, 0.000, 0.000)
C (0.000, 0.000, 0.500)
C (0.262, 0.738, 0.123)
C (0.262, 0.738, 0.377)
C (0.454, 0.546, 0.750)
C (0.546, 0.454, 0.250)
C (0.738, 0.262, 0.623)
C (0.738, 0.262, 0.877)


(6)
First-principles (PBE-GGA) data for crystalline U2Re2C3 at its relaxed geometry, as listed in Alexandria via LeMat-Bulk.

Summary:
Energy relative to the lowest polymorph listed for this composition ... 0 meV/atom
Formation enthalpy at 0 K ... -179 meV/atom
E_tot ... -10.914 eV per atom

a b c (Å): 6.175 6.175 5.583
angles (deg): 112.25 112.25 29.24
Atoms (fractional coordinates):
U (0.102, 0.102, 0.305)
U (0.898, 0.898, 0.695)
Re (0.346, 0.346, 0.166)
Re (0.654, 0.654, 0.834)
C (0.251, 0.251, 0.746)
C (0.500, 0.500, 0.500)
C (0.749, 0.749, 0.254)


(7)
First-principles (PBE-GGA) data for crystalline U2Re2C3 at its relaxed geometry, as listed in Alexandria via LeMat-Bulk.

Summary:
Energy relative to the lowest polymorph listed for this composition ... 93 meV/atom
Formation enthalpy at 0 K ... -86 meV/atom
E_tot ... -10.821 eV per atom

a b c (Å): 5.983 5.983 5.525
angles (deg): 103.96 103.96 29.41
Atoms (fractional coordinates):
U (0.102, 0.102, 0.333)
U (0.898, 0.898, 0.667)
Re (0.346, 0.346, 0.135)
Re (0.654, 0.654, 0.865)
C (0.250, 0.250, 0.740)
C (0.500, 0.500, 0.000)
C (0.750, 0.750, 0.260)


(8)
First-principles (PBE-GGA) data for crystalline U5Re3C8 at its relaxed geometry, as listed in Alexandria via LeMat-Bulk.

Summary:
Formation enthalpy at 0 K ... -181 meV/atom
E_tot ... -10.654 eV per atom

a b c (Å): 11.388 11.388 3.247
angles (deg): 90.00 90.00 90.00
Atoms (fractional coordinates):
U (0.000, 0.500, 0.000)
U (0.042, 0.228, 0.500)
U (0.228, 0.958, 0.500)
U (0.272, 0.458, 0.500)
U (0.458, 0.728, 0.500)
U (0.500, 0.000, 0.000)
U (0.542, 0.272, 0.500)
U (0.728, 0.542, 0.500)
U (0.772, 0.042, 0.500)
U (0.958, 0.772, 0.500)
Re (0.000, 0.000, 0.000)
Re (0.204, 0.704, 0.000)
Re (0.296, 0.204, 0.000)
Re (0.500, 0.500, 0.000)
Re (0.704, 0.796, 0.000)
Re (0.796, 0.296, 0.000)
C (0.098, 0.848, 0.000)
C (0.117, 0.617, 0.500)
C (0.152, 0.098, 0.000)
C (0.153, 0.347, 0.000)
C (0.347, 0.847, 0.000)
C (0.348, 0.598, 0.000)
C (0.383, 0.117, 0.500)
C (0.402, 0.348, 0.000)
C (0.598, 0.652, 0.000)
C (0.617, 0.883, 0.500)
C (0.652, 0.402, 0.000)
C (0.653, 0.153, 0.000)
C (0.847, 0.653, 0.000)
C (0.848, 0.902, 0.000)
C (0.883, 0.383, 0.500)
C (0.902, 0.152, 0.000)


(9)
First-principles (PBE-GGA) data for crystalline Y2UReC4 at its relaxed geometry, as listed in Alexandria via LeMat-Bulk.

Summary:
Formation enthalpy at 0 K ... 63 meV/atom
E_tot ... -9.132 eV per atom

a b c (Å): 6.177 6.177 12.232
angles (deg): 90.00 90.00 147.70
Atoms (fractional coordinates):
Y (0.131, 0.869, 0.540)
Y (0.131, 0.869, 0.960)
Y (0.869, 0.131, 0.040)
Y (0.869, 0.131, 0.460)
U (0.402, 0.598, 0.750)
U (0.598, 0.402, 0.250)
Re (0.337, 0.663, 0.250)
Re (0.663, 0.337, 0.750)
C (0.064, 0.936, 0.750)
C (0.229, 0.771, 0.135)
C (0.229, 0.771, 0.365)
C (0.500, 0.500, 0.000)
C (0.500, 0.500, 0.500)
C (0.771, 0.229, 0.635)
C (0.771, 0.229, 0.865)
C (0.936, 0.064, 0.250)


(10)
First-principles (PBE-GGA) data for crystalline YU2ReC4 at its relaxed geometry, as listed in Alexandria via LeMat-Bulk.

Summary:
Formation enthalpy at 0 K ... -38 meV/atom
E_tot ... -9.836 eV per atom

a b c (Å): 6.053 6.053 11.642
angles (deg): 90.00 90.00 145.84
Atoms (fractional coordinates):
Y (0.121, 0.879, 0.750)
Y (0.879, 0.121, 0.250)
U (0.371, 0.629, 0.544)
U (0.371, 0.629, 0.956)
U (0.629, 0.371, 0.044)
U (0.629, 0.371, 0.456)
Re (0.143, 0.857, 0.250)
Re (0.857, 0.143, 0.750)
C (0.000, 0.000, 0.000)
C (0.000, 0.000, 0.500)
C (0.259, 0.741, 0.121)
C (0.259, 0.741, 0.379)
C (0.446, 0.554, 0.750)
C (0.554, 0.446, 0.250)
C (0.741, 0.259, 0.621)
C (0.741, 0.259, 0.879)


(11)
First-principles (PBE-GGA) data for crystalline Zr2UReC4 at its relaxed geometry, as listed in Alexandria via LeMat-Bulk.

Summary:
Formation enthalpy at 0 K ... -245 meV/atom
E_tot ... -9.961 eV per atom

a b c (Å): 6.048 6.048 11.485
angles (deg): 90.00 90.00 148.29
Atoms (fractional coordinates):
Zr (0.130, 0.870, 0.539)
Zr (0.130, 0.870, 0.961)
Zr (0.870, 0.130, 0.039)
Zr (0.870, 0.130, 0.461)
U (0.389, 0.611, 0.750)
U (0.611, 0.389, 0.250)
Re (0.349, 0.651, 0.250)
Re (0.651, 0.349, 0.750)
C (0.046, 0.954, 0.750)
C (0.234, 0.766, 0.125)
C (0.234, 0.766, 0.375)
C (0.500, 0.500, 0.000)
C (0.500, 0.500, 0.500)
C (0.766, 0.234, 0.625)
C (0.766, 0.234, 0.875)
C (0.954, 0.046, 0.250)


(12)
First-principles (PBE-GGA) data for crystalline VReC at its relaxed geometry, as listed in Alexandria via LeMat-Bulk.

Summary:
Formation enthalpy at 0 K ... 782 meV/atom
E_tot ... -9.481 eV per atom

a b c (Å): 5.727 5.727 5.727
angles (deg): 28.97 28.97 28.97
Atoms (fractional coordinates):
V (0.000, 0.000, 0.000)
Re (0.154, 0.154, 0.154)
C (0.272, 0.272, 0.272)


(13)
First-principles (PBE-GGA) data for crystalline VRe2C at its relaxed geometry, as listed in Alexandria via LeMat-Bulk.

Summary:
Formation enthalpy at 0 K ... 210 meV/atom
E_tot ... -10.600 eV per atom

a b c (Å): 5.373 5.373 5.373
angles (deg): 99.40 99.40 132.33
Atoms (fractional coordinates):
V (0.000, 0.000, 0.000)
V (0.750, 0.250, 0.500)
Re (0.234, 0.625, 0.109)
Re (0.375, 0.484, 0.609)
Re (0.516, 0.125, 0.891)
Re (0.875, 0.766, 0.391)
C (0.250, 0.750, 0.500)
C (0.500, 0.500, 0.000)


(14)
First-principles (PBE-GGA) data for crystalline VReC3 at its relaxed geometry, as listed in Alexandria via LeMat-Bulk.

Summary:
Energy relative to the lowest polymorph listed for this composition ... 0 meV/atom
Formation enthalpy at 0 K ... 1725 meV/atom
E_tot ... -8.123 eV per atom

a b c (Å): 3.981 3.981 3.981
angles (deg): 90.00 90.00 90.00
Atoms (fractional coordinates):
V (0.000, 0.000, 0.000)
Re (0.500, 0.500, 0.500)
C (0.000, 0.500, 0.500)
C (0.500, 0.000, 0.500)
C (0.500, 0.500, 0.000)


(15)
First-principles (PBE-GGA) data for crystalline VReC3 at its relaxed geometry, as listed in Alexandria via LeMat-Bulk.

Summary:
Energy relative to the lowest polymorph listed for this composition ... 519 meV/atom
Formation enthalpy at 0 K ... 2244 meV/atom
E_tot ... -7.604 eV per atom

a b c (Å): 3.802 3.802 3.802
angles (deg): 90.00 90.00 90.00
Atoms (fractional coordinates):
V (0.000, 0.000, 0.000)
Re (0.500, 0.500, 0.500)
C (0.000, 0.000, 0.500)
C (0.000, 0.500, 0.000)
C (0.500, 0.000, 0.000)


(16)
First-principles (PBE-GGA) data for crystalline VReC2 at its relaxed geometry, as listed in Alexandria via LeMat-Bulk.

Summary:
Energy relative to the lowest polymorph listed for this composition ... 205 meV/atom
Formation enthalpy at 0 K ... 600 meV/atom
E_tot ... -9.403 eV per atom

a b c (Å): 3.739 3.739 3.739
angles (deg): 60.00 60.00 60.00
Atoms (fractional coordinates):
V (0.000, 0.000, 0.000)
Re (0.500, 0.500, 0.500)
C (0.250, 0.250, 0.250)
C (0.750, 0.750, 0.750)


(17)
First-principles (PBE-GGA) data for crystalline VReC2 at its relaxed geometry, as listed in Alexandria via LeMat-Bulk.

Summary:
Energy relative to the lowest polymorph listed for this composition ... 0 meV/atom
Formation enthalpy at 0 K ... 396 meV/atom
E_tot ... -9.608 eV per atom

a b c (Å): 5.625 5.625 5.625
angles (deg): 132.01 132.01 70.22
Atoms (fractional coordinates):
V (0.000, 0.000, 0.000)
V (0.750, 0.250, 0.500)
Re (0.250, 0.750, 0.500)
Re (0.500, 0.500, 0.000)
C (0.125, 0.625, 0.000)
C (0.375, 0.375, 0.500)
C (0.625, 0.125, 0.000)
C (0.875, 0.875, 0.500)


(18)
First-principles (PBE-GGA) data for crystalline ReWC3 at its relaxed geometry, as listed in Alexandria via LeMat-Bulk.

Summary:
Energy relative to the lowest polymorph listed for this composition ... 0 meV/atom
Formation enthalpy at 0 K ... 2297 meV/atom
E_tot ... -8.317 eV per atom

a b c (Å): 3.940 3.940 3.940
angles (deg): 90.00 90.00 90.00
Atoms (fractional coordinates):
Re (0.000, 0.000, 0.000)
W (0.500, 0.500, 0.500)
C (0.000, 0.000, 0.500)
C (0.000, 0.500, 0.000)
C (0.500, 0.000, 0.000)


(19)
First-principles (PBE-GGA) data for crystalline Re3WC at its relaxed geometry, as listed in Alexandria via LeMat-Bulk.

Summary:
Energy relative to the lowest polymorph listed for this composition ... 3438 meV/atom
Formation enthalpy at 0 K ... 3656 meV/atom
E_tot ... -8.248 eV per atom

a b c (Å): 4.726 4.726 4.726
angles (deg): 90.00 90.00 90.00
Atoms (fractional coordinates):
Re (0.000, 0.000, 0.500)
Re (0.000, 0.500, 0.000)
Re (0.500, 0.000, 0.000)
W (0.000, 0.000, 0.000)
C (0.500, 0.500, 0.500)


(20)
First-principles (PBE-GGA) data for crystalline ReWC3 at its relaxed geometry, as listed in Alexandria via LeMat-Bulk.

Summary:
Energy relative to the lowest polymorph listed for this composition ... 217 meV/atom
Formation enthalpy at 0 K ... 2514 meV/atom
E_tot ... -8.101 eV per atom

a b c (Å): 3.993 3.993 3.993
angles (deg): 90.00 90.00 90.00
Atoms (fractional coordinates):
Re (0.000, 0.000, 0.000)
W (0.500, 0.500, 0.500)
C (0.000, 0.500, 0.500)
C (0.500, 0.000, 0.500)
C (0.500, 0.500, 0.000)


no.,D(E_F) (states/eV per atom),mass density (g/cm³)
1,0.486,10.80
2,0.356,12.44
3,0.436,13.43
4,0.338,11.20
5,0.993,12.44
6,1.139,15.35
7,1.049,15.61
8,1.355,14.55
9,0.885,8.66
10,1.036,11.08
11,0.690,9.85
12,1.161,10.62
13,0.971,13.78
14,0.886,7.19
15,0.748,8.25
16,0.466,11.73
17,0.562,9.01
18,1.512,11.02
19,1.819,11.87
20,1.959,10.59